(1)
Entry from the Alexandria database: a relaxed MgRhS2O8 crystal (PBE-GGA).

Symmetry ... P-3m1 (164)
Magnetization ... 1.00 Bohr magnetons per cell
Energy relative to the elements, uncorrected ... -1242.7 meV per atom

Cell lengths 5.169, 5.169, 6.332 Å; angles 90.00, 90.00, 120.00 degrees
Site moments in Bohr magnetons follow the coordinates.
Element x y z (fractional)
S 0.333 0.667 0.682  0.01
O 0.173 0.827 0.755  0.01
Mg 0.000 0.000 0.500  0.00
Rh 0.000 0.000 0.000  0.84
O 0.346 0.173 0.245  0.01
O 0.827 0.654 0.245  0.01
O 0.654 0.827 0.755  0.01
S 0.667 0.333 0.318  0.01
O 0.173 0.346 0.755  0.01
O 0.827 0.173 0.245  0.01
O 0.667 0.333 0.547  0.01
O 0.333 0.667 0.453  0.01

(2)
Entry from the Alexandria database: a relaxed NdMgSe2 crystal (PBE-GGA).

Symmetry ... R-3m (166)
Magnetization ... 0.00 Bohr magnetons per cell
Energy relative to the elements, uncorrected ... -1457.3 meV per atom

Cell lengths 3.972, 3.972, 7.374 Å; angles 74.38, 74.38, 60.00 degrees
Element x y z (fractional)
Se 0.740 0.740 0.780
Mg 0.000 0.000 0.000
Nd 0.500 0.500 0.500
Se 0.260 0.260 0.220

(3)
Entry from the Alexandria database: a relaxed CrRuS2N crystal (PBE-GGA).

Symmetry ... P4/mmm (123)
Magnetization ... 0.89 Bohr magnetons per cell
Energy relative to the elements, uncorrected ... 617.4 meV per atom

Cell lengths 4.581, 4.581, 3.442 Å; angles 90.00, 90.00, 90.00 degrees
Site moments in Bohr magnetons follow the coordinates.
Element x y z (fractional)
S 0.500 0.000 0.000  -0.02
S 0.000 0.500 0.000  -0.02
Ru 0.500 0.500 0.500  0.70
N 0.000 0.000 0.500  -0.02
Cr 0.000 0.000 0.000  0.21

(4)
Entry from the Alexandria database: a relaxed SrAuCl3 crystal (PBE-GGA).

Symmetry ... Pm-3m (221)
Magnetization ... 0.00 Bohr magnetons per cell
Energy relative to the elements, uncorrected ... -943.4 meV per atom

Cell lengths 5.602, 5.602, 5.602 Å; angles 90.00, 90.00, 90.00 degrees
Element x y z (fractional)
Cl 0.000 0.500 0.000
Sr 0.000 0.000 0.000
Cl 0.000 0.000 0.500
Cl 0.500 0.000 0.000
Au 0.500 0.500 0.500

Question: The lowest energy relative to the elements, uncorrected belongs to which entry?
Answer: NdMgSe2

Question: Which value of magnetization does entry 3 give?
Answer: 0.89 Bohr magnetons per cell

Question: The lowest energy relative to the elements, uncorrected belongs to which entry?
Answer: NdMgSe2